# 1
ZnTe5: optimized geometry, GGA-PBE.

**Relative energy among the computed polymorphs**: 0 meV/atom

The structure in extended XYZ format:
```
6
Lattice="2.099 -7.157 0.000 2.099 7.157 0.000 0.000 0.000 6.137" Properties=species:S:1:pos:R:3 pbc="T T T"
Zn 0.000 0.000 0.000
Te 0.000 0.000 3.068
Te 2.099 2.167 3.068
Te 2.099 1.970 0.000
Te 2.099 -1.970 0.000
Te 2.099 -2.167 3.068
```

---

# 2
Zn3Te: optimized geometry, GGA-PBE.

**Relative energy among the computed polymorphs**: 118 meV/atom

The structure in extended XYZ format:
```
8
Lattice="3.240 -9.060 0.000 3.240 9.060 0.000 0.000 0.000 2.988" Properties=species:S:1:pos:R:3 pbc="T T T"
Zn 1.279 3.498 2.241
Zn 3.240 7.876 2.241
Zn 1.279 -3.498 0.747
Zn 5.201 3.498 2.241
Zn 3.240 -7.876 0.747
Zn 5.201 -3.498 0.747
Te 3.240 1.674 2.241
Te 3.240 -1.674 0.747
```

---

Let's list total magnetization in order: 0.00, 0.00 μB/cell.